Cu3OsI | PBEsol | relaxed

a b c (Å): 4.6586 4.6586 4.6586
angles (deg): 90.00 90.00 90.00
Atoms (fractional coordinates):
Cu: 0.0000 0.0000 0.5000
Cu: 0.0000 0.5000 0.0000
Cu: 0.5000 0.0000 0.0000
Os: 0.5000 0.5000 0.5000
I: 0.0000 0.0000 0.0000

## Properties
The total energy comes out at -16.4 eV/cell. As for the space-group type: Pm-3m. The value obtained for the calculated volume is 20.2 Å³ per atom. The density of states at the Fermi level comes out at 0.770 states/eV per atom. The energy relative to the elements, uncorrected is 2.110 eV/atom.